1.
The following is a PBE calculation of SrPaCuN3 after structural relaxation, from the Alexandria database.

## Properties
Calculated volume = 16.3 Å³ per atom
Formation energy (no corrections) = -0.82 eV/atom
Uncorrected energy = -7.524 eV per atom
DOS(E_F) = 1.7 states/eV/f.u.

a b c (Å): 7.2971 3.5529 7.6477
angles (deg): 90.00 99.99 90.00
Closest atoms and distances in Å follow each position.
Element x y z (fractional)
Sr  0.1738  0.2500  0.2132  5 N 2.64-2.93
Sr  0.8262  0.7500  0.7868  5 N 2.64-2.93
Pa  0.3382  0.7500  0.8359  6 N 2.28-2.44
Pa  0.6618  0.2500  0.1641  6 N 2.28-2.44
Cu  0.0947  0.2500  0.5857  4 N 1.96-2.11
Cu  0.9053  0.7500  0.4143  4 N 1.96-2.11
N  0.1501  0.2500  0.8653  1 Cu 2.11, 2 Pa 2.28
N  0.1811  0.7500  0.5268  3 Cu 1.96-2.05
N  0.4478  0.7500  0.1368  3 Pa 2.30-2.35
N  0.5522  0.2500  0.8632  3 Pa 2.30-2.35
N  0.8189  0.2500  0.4732  3 Cu 1.96-2.05
N  0.8499  0.7500  0.1347  1 Cu 2.11, 2 Pa 2.28

2.
The following is a PBE calculation of SrPa2CuN4 after structural relaxation, from the Alexandria database.

## Properties
Calculated volume = 15.2 Å³ per atom
Formation energy (no corrections) = -1.22 eV/atom
Uncorrected energy = -8.477 eV per atom
DOS(E_F) = 3.0 states/eV/f.u.

a b c (Å): 6.1098 6.1098 11.6353
angles (deg): 90.00 90.00 146.00
Closest atoms and distances in Å follow each position.
Element x y z (fractional)
Sr  0.0970  0.9030  0.7500  6 N 2.67-2.99
Sr  0.9030  0.0970  0.2500  6 N 2.67-2.99
Pa  0.3694  0.6306  0.5586  6 N 2.25-2.45
Pa  0.3694  0.6306  0.9414  6 N 2.25-2.45
Pa  0.6306  0.3694  0.0586  6 N 2.25-2.45
Pa  0.6306  0.3694  0.4414  6 N 2.25-2.45
Cu  0.1755  0.8245  0.2500  4 N 2.00-2.15
Cu  0.8245  0.1755  0.7500  4 N 2.00-2.15
N  0.0000  0.0000  0.0000  4 Pa 2.45
N  0.0000  0.0000  0.5000  4 Pa 2.45
N  0.2613  0.7387  0.1016  1 Cu 2.00
N  0.2613  0.7387  0.3984  1 Cu 2.00
N  0.4273  0.5727  0.7500  2 Cu 2.15, 2 Pa 2.33
N  0.5727  0.4273  0.2500  2 Cu 2.15, 2 Pa 2.33
N  0.7387  0.2613  0.6016  1 Cu 2.00
N  0.7387  0.2613  0.8984  1 Cu 2.00

3.
The following is a PBE calculation of Pa2TaCuN6 after structural relaxation, from the Alexandria database.

## Properties
Calculated volume = 13.5 Å³ per atom
Formation energy (no corrections) = -0.69 eV/atom
Uncorrected energy = -9.178 eV per atom
DOS(E_F) = 4.0 states/eV/f.u.

a b c (Å): 5.2956 5.2956 4.8292
angles (deg): 90.00 90.00 90.00
Closest atoms and distances in Å follow each position.
Element x y z (fractional)
Pa  0.0000  0.5000  0.0000  4 N 2.26
Pa  0.5000  0.0000  0.0000  4 N 2.26
Ta  0.0000  0.0000  0.5768  5 N 1.91-2.02
Cu  0.5000  0.5000  0.6275  5 N 1.96-2.11
N  0.0000  0.0000  0.1814  1 Ta 1.91
N  0.2483  0.2483  0.7386  1 Cu 1.96, 1 Ta 2.02
N  0.2483  0.7517  0.7386  1 Cu 1.96, 1 Ta 2.02
N  0.5000  0.5000  0.1902  1 Cu 2.11
N  0.7517  0.2483  0.7386  1 Cu 1.96, 1 Ta 2.02
N  0.7517  0.7517  0.7386  1 Cu 1.96, 1 Ta 2.02

4.
The following is a PBE calculation of TbPa2CuN5 after structural relaxation, from the Alexandria database.

## Properties
Calculated volume = 13.7 Å³ per atom
Formation energy (no corrections) = -1.05 eV/atom
Uncorrected energy = -8.753 eV per atom
DOS(E_F) = 6.8 states/eV/f.u.

a b c (Å): 6.8202 6.8202 10.7516
angles (deg): 90.00 90.00 150.45
Closest atoms and distances in Å follow each position.
Element x y z (fractional)
Tb  0.1620  0.8380  0.5000  4 N 2.29-2.55
Tb  0.8380  0.1620  0.0000  4 N 2.29-2.55
Pa  0.1085  0.8915  0.8021  6 N 2.30-2.39
Pa  0.1577  0.8423  0.1934  6 N 2.22-2.43
Pa  0.8423  0.1577  0.6934  6 N 2.22-2.43
Pa  0.8915  0.1085  0.3021  6 N 2.30-2.39
Cu  0.4765  0.5235  0.5307  4 N 1.93-2.06
Cu  0.5235  0.4765  0.0307  4 N 1.93-2.06
N  0.0113  0.9887  0.6237  2 Cu 2.06
N  0.2851  0.7149  0.8354  3 Pa 2.36-2.43, 2 Tb 2.58
N  0.3253  0.6747  0.1732  3 Pa 2.22-2.39
N  0.3281  0.6719  0.5618  1 Cu 1.99
N  0.4979  0.5021  0.3532  1 Cu 1.93
N  0.5021  0.4979  0.8532  1 Cu 1.93
N  0.6719  0.3281  0.0618  1 Cu 1.99
N  0.6747  0.3253  0.6732  3 Pa 2.22-2.39
N  0.7149  0.2851  0.3354  3 Pa 2.36-2.43, 2 Tb 2.58
N  0.9887  0.0113  0.1237  2 Cu 2.06

Q: What is the formula in the first record?
A: SrPaCuN3

Q: uncorrected energy of number 1 (SrPaCuN3)?
A: -7.524 eV per atom